Computed, not measured: an optimized crystal structure of Hf3ScCo2 at the PBE level of DFT.

Structure (POSCAR):
```
Hf3ScCo2
1.0
-0.432 0.373 4.620
5.572 -5.958 -1.344
1.461 7.171 -0.443
Hf Sc Co
6 2 4
direct
0.312 0.624 0.621 Hf
0.939 0.879 0.606 Hf
0.615 0.231 0.724 Hf
0.385 0.769 0.276 Hf
0.061 0.121 0.394 Hf
0.688 0.376 0.379 Hf
0.857 0.715 0.936 Sc
0.143 0.285 0.064 Sc
0.500 0.000 0.843 Co
0.500 0.000 0.157 Co
0.780 0.560 0.180 Co
0.220 0.440 0.820 Co
```

polymorph energy (0 for the lowest one)	12.84	kJ per mole of atoms
magnetization	0.0759	μB per atom
space group	C2/m, No. 12

Computed, not measured: an optimized crystal structure of Hf3ScCo2 at the PBE level of DFT.

Structure (POSCAR):
```
Hf3ScCo2
1.0
-0.172 -3.405 2.799
4.112 -3.211 -3.653
5.937 3.015 4.033
Hf Sc Co
6 2 4
direct
0.000 0.487 0.925 Hf
0.000 0.987 0.075 Hf
0.500 0.647 0.169 Hf
0.500 0.147 0.831 Hf
0.000 0.353 0.335 Hf
0.000 0.853 0.665 Hf
0.500 0.516 0.577 Sc
0.500 0.016 0.423 Sc
0.500 0.748 0.840 Co
0.500 0.248 0.160 Co
0.000 0.249 0.669 Co
0.000 0.749 0.331 Co
```

polymorph energy (0 for the lowest one)	0.00	kJ per mole of atoms
magnetization	0.0000	μB per atom
space group	Pmc2_1, No. 26

Computed, not measured: an optimized crystal structure of HfSc2Co at the PBE level of DFT.

Structure (POSCAR):
```
HfSc2Co
1.0
-2.454 -2.011 -0.066
1.559 -1.965 1.945
-3.062 3.538 6.030
Sc Co Hf
2 1 1
direct
0.000 0.000 0.801 Sc
0.000 0.000 0.199 Sc
0.500 0.500 0.000 Co
0.500 0.500 0.500 Hf
```

polymorph energy (0 for the lowest one)	8.30	kJ per mole of atoms
magnetization	0.0995	μB per atom
space group	P4/mmm, No. 123

Computed, not measured: an optimized crystal structure of HfSc4Co5 at the PBE level of DFT.

Structure (POSCAR):
```
HfSc4Co5
1.0
3.135 0.000 0.000
0.000 3.135 0.000
0.000 0.000 15.642
Hf Sc Co
1 4 5
direct
0.000 0.000 0.000 Hf
0.000 0.000 0.203 Sc
0.000 0.000 0.401 Sc
0.000 0.000 0.599 Sc
0.000 0.000 0.797 Sc
0.500 0.500 0.096 Co
0.500 0.500 0.299 Co
0.500 0.500 0.500 Co
0.500 0.500 0.701 Co
0.500 0.500 0.904 Co
```

magnetization	0.1695	μB per atom
VASP energy	-7.465	eV/atom
space group	P4/mmm, No. 123

Computed, not measured: an optimized crystal structure of HfScCo at the PBE level of DFT.

Structure (POSCAR):
```
HfScCo
1.0
-2.922 -0.327 1.189
1.191 -1.537 2.505
1.412 5.668 0.800
Sc Hf Co
1 1 1
direct
0.020 0.020 0.041 Sc
0.306 0.306 0.612 Hf
0.674 0.674 0.347 Co
```

polymorph energy (0 for the lowest one)	9.23	kJ per mole of atoms
magnetization	0.5301	μB per atom
space group	I4mm, No. 107

Computed, not measured: an optimized crystal structure of HfSc2Co2 at the PBE level of DFT.

Structure (POSCAR):
```
HfSc2Co2
1.0
7.604 0.000 0.000
0.000 7.604 0.000
0.000 0.000 2.881
Sc Co Hf
4 4 2
direct
0.367 0.867 0.000 Sc
0.867 0.633 0.000 Sc
0.633 0.133 0.000 Sc
0.133 0.367 0.000 Sc
0.171 0.671 0.500 Co
0.671 0.829 0.500 Co
0.829 0.329 0.500 Co
0.329 0.171 0.500 Co
0.000 0.000 0.000 Hf
0.500 0.500 0.000 Hf
```

polymorph energy (0 for the lowest one)	24.73	kJ per mole of atoms
magnetization	0.0000	μB per atom
space group	P4/mbm, No. 127

Computed, not measured: an optimized crystal structure of SrHf2ScCo at the PBE level of DFT.

Structure (POSCAR):
```
SrHf2ScCo
1.0
-3.039 0.342 4.313
-3.616 -1.187 -2.453
0.946 -5.091 1.070
Sc Sr Hf Co
1 1 2 1
direct
0.000 0.000 0.000 Sc
0.500 0.500 0.500 Sr
0.000 0.000 0.500 Hf
0.500 0.000 0.000 Hf
0.000 0.500 0.000 Co
```

magnetization	0.0972	μB per atom
VASP energy	-5.965	eV/atom
space group	P4/mmm, No. 123

Computed, not measured: an optimized crystal structure of HfScCoTc at the PBE level of DFT.

Structure (POSCAR):
```
HfScCoTc
1.0
-1.571 4.092 -1.076
-3.571 0.400 -2.731
-3.959 1.403 1.652
Sc Co Hf Tc
1 1 1 1
direct
0.000 0.000 0.000 Sc
0.750 0.750 0.750 Co
0.500 0.500 0.500 Hf
0.250 0.250 0.250 Tc
```

polymorph energy (0 for the lowest one)	0.00	kJ per mole of atoms
magnetization	0.0000	μB per atom
space group	F-43m, No. 216

Computed, not measured: an optimized crystal structure of HfScCoTc at the PBE level of DFT.

Structure (POSCAR):
```
HfScCoTc
1.0
-0.461 -1.988 -2.484
1.300 -2.409 1.686
-5.749 -1.509 2.275
Hf Sc Co Tc
1 1 1 1
direct
0.000 0.000 0.852 Hf
0.000 0.000 0.360 Sc
0.500 0.500 0.615 Co
0.500 0.500 0.101 Tc
```

polymorph energy (0 for the lowest one)	1.14	kJ per mole of atoms
magnetization	0.0954	μB per atom
space group	P4mm, No. 99

Computed, not measured: an optimized crystal structure of Hf2ScTiCo2 at the PBE level of DFT.

Structure (POSCAR):
```
Hf2ScTiCo2
1.0
5.843 0.000 0.000
0.000 5.906 0.000
-2.921 -2.953 6.161
Hf Sc Ti Co
4 2 2 4
direct
0.689 0.896 0.378 Hf
0.189 0.482 0.378 Hf
0.811 0.518 0.622 Hf
0.311 0.104 0.622 Hf
0.250 0.000 0.000 Sc
0.750 0.000 0.000 Sc
0.750 0.500 0.000 Ti
0.250 0.500 0.000 Ti
0.382 0.606 0.765 Co
0.618 0.394 0.235 Co
0.118 0.842 0.235 Co
0.882 0.158 0.765 Co
```

magnetization	0.0000	μB per atom
VASP energy	-8.245	eV/atom
space group	Ibam, No. 72

Computed, not measured: an optimized crystal structure of HfSc2TlCo at the PBE level of DFT.

Structure (POSCAR):
```
HfSc2TlCo
1.0
-4.120 -0.939 2.370
2.541 -1.857 3.683
0.192 4.310 2.040
Sc Co Tl Hf
2 1 1 1
direct
0.000 0.500 0.000 Sc
0.500 0.000 0.000 Sc
0.000 0.000 0.000 Co
0.500 0.500 0.500 Tl
0.000 0.000 0.500 Hf
```

magnetization	0.0000	μB per atom
VASP energy	-6.463	eV/atom
space group	P4/mmm, No. 123

Computed, not measured: an optimized crystal structure of HfCoSe2 at the PBE level of DFT.

Structure (POSCAR):
```
HfCoSe2
1.0
0.000 3.240 3.240
3.240 0.000 3.240
3.240 3.240 0.000
Co Hf Se
1 1 2
direct
0.000 0.000 0.000 Co
0.500 0.500 0.500 Hf
0.250 0.250 0.250 Se
0.750 0.750 0.750 Se
```

polymorph energy (0 for the lowest one)	7.86	kJ per mole of atoms
magnetization	0.2501	μB per atom
space group	Fm-3m, No. 225

Computed, not measured: an optimized crystal structure of HfCoSe2 at the PBE level of DFT.

Structure (POSCAR):
```
HfCoSe2
1.0
-1.821 -4.022 3.569
3.330 -3.802 -2.585
4.964 -2.651 4.060
Co Hf Se
2 2 4
direct
0.500 0.500 0.000 Co
0.250 0.750 0.500 Co
0.000 0.000 0.000 Hf
0.750 0.250 0.500 Hf
0.590 0.125 0.250 Se
0.160 0.625 0.250 Se
0.375 0.410 0.750 Se
0.875 0.840 0.750 Se
```

polymorph energy (0 for the lowest one)	0.00	kJ per mole of atoms
magnetization	0.2671	μB per atom
space group	I-42d, No. 122